[1]
Here is a PBEsol-optimized structure of Li3ReNi from the Alexandria database. Energies are from meta-GGA SCAN.

Results
spin magnetization = 1.6 Bohr magnetons per cell
Fermi-level density of states = 2.800 states/eV/cell
crystal system = cubic
energy = -87.856 eV per formula unit

a = 4.0068 Å, b = 4.0068 Å, c = 4.0068 Å
α = 90.00°, β = 90.00°, γ = 90.00°
Closest atoms and distances in Å follow each position.
Sites, in units of the cell vectors:
Re  0.5000  0.5000  0.5000  12 Li 2.83
Li  0.5000  0.0000  0.0000  2 Ni 2.00
Li  0.0000  0.0000  0.5000  2 Ni 2.00
Li  0.0000  0.5000  0.0000  2 Ni 2.00
Ni  0.0000  0.0000  0.0000  6 Li 2.00

[2]
Here is a PBEsol-optimized structure of LiReNi from the Alexandria database. Energies are from meta-GGA SCAN.

Results
spin magnetization = 0.0 Bohr magnetons per cell
Fermi-level density of states = 2.673 states/eV/cell
crystal system = orthorhombic
energy above the most stable polymorph in this dataset = 73 meV/atom

a = 2.5143 Å, b = 3.7446 Å, c = 4.4378 Å
α = 114.95°, β = 106.46°, γ = 90.00°
Closest atoms and distances in Å follow each position.
Sites, in units of the cell vectors:
Ni  0.6680  0.6680  0.3359  2 Ni 2.51, 5 Re 2.56-2.60, 5 Li 2.57-2.58
Li  0.0045  0.0045  0.0090  5 Re 2.47-2.63, 2 Li 2.51, 5 Ni 2.57-2.58
Re  0.3275  0.3275  0.6551  5 Li 2.47-2.63, 2 Re 2.51, 5 Ni 2.56-2.60

[3]
Here is a PBEsol-optimized structure of LiRe2Ni from the Alexandria database. Energies are from meta-GGA SCAN.

Results
spin magnetization = 0.0 Bohr magnetons per cell
Fermi-level density of states = 2.866 states/eV/cell
crystal system = orthorhombic
energy above the most stable polymorph in this dataset = 116 meV/atom

a = 2.6007 Å, b = 2.6007 Å, c = 8.5751 Å
α = 90.00°, β = 90.00°, γ = 110.20°
Closest atoms and distances in Å follow each position.
Sites, in units of the cell vectors:
Re  0.0000  0.0000  0.0140  2 Ni 2.48, 6 Re 2.60-2.67
Re  0.5000  0.5000  0.7552  6 Re 2.60-2.67, 2 Li 2.75
Ni  0.5000  0.5000  0.2454  2 Re 2.48, 2 Li 2.54, 4 Ni 2.60
Li  0.0000  0.0000  0.4854  2 Ni 2.54, 4 Li 2.60, 2 Re 2.75

[4]
Here is a PBEsol-optimized structure of LiRe2Ni from the Alexandria database. Energies are from meta-GGA SCAN.

Results
spin magnetization = 0.0 Bohr magnetons per cell
Fermi-level density of states = 3.307 states/eV/cell
crystal system = tetragonal
energy above the most stable polymorph in this dataset = 0 meV/atom

a = 4.1658 Å, b = 4.1724 Å, c = 4.1658 Å
α = 119.91°, β = 90.03°, γ = 119.90°
Closest atoms and distances in Å follow each position.
Sites, in units of the cell vectors:
Ni  0.2500  0.4999  0.7500  4 Li 2.55-2.56, 4 Re 2.55-2.56
Re  0.0000  0.0000  0.9999  4 Ni 2.55-2.56, 4 Re 2.55
Re  0.7499  0.5000  0.2501  4 Li 2.55-2.56, 4 Re 2.55
Li  0.5000  0.0001  0.5000  4 Ni 2.55-2.56, 4 Re 2.55-2.56

[5]
Here is a PBEsol-optimized structure of LiRe2Ni from the Alexandria database. Energies are from meta-GGA SCAN.

Results
spin magnetization = 0.0 Bohr magnetons per cell
Fermi-level density of states = 2.195 states/eV/cell
crystal system = monoclinic
energy above the most stable polymorph in this dataset = 68 meV/atom

a = 2.5325 Å, b = 4.5325 Å, c = 4.7375 Å
α = 95.62°, β = 90.00°, γ = 106.22°
Closest atoms and distances in Å follow each position.
Sites, in units of the cell vectors:
Ni  0.2587  0.5174  0.7278  3 Li 2.46-2.65, 2 Ni 2.53, 4 Re 2.60-2.61
Li  0.5051  0.0101  0.5169  3 Ni 2.46-2.65, 2 Li 2.53, 5 Re 2.58-2.72
Re  0.7477  0.4954  0.2479  5 Re 2.49-2.73, 3 Li 2.58-2.77, 4 Ni 2.60-2.78
Re  0.9885  0.9771  0.0074  5 Re 2.49-2.73, 2 Ni 2.61, 4 Li 2.66-2.72

[6]
Here is a PBEsol-optimized structure of LiReNi from the Alexandria database. Energies are from meta-GGA SCAN.

Results
spin magnetization = 0.0 Bohr magnetons per cell
Fermi-level density of states = 0.795 states/eV/cell
crystal system = cubic
energy above the most stable polymorph in this dataset = 377 meV/atom

a = 3.8392 Å, b = 3.8392 Å, c = 3.8392 Å
α = 60.00°, β = 60.00°, γ = 60.00°
Closest atoms and distances in Å follow each position.
Sites, in units of the cell vectors:
Re  0.0000  0.0000  0.0000  4 Ni 2.35
Li  0.5000  0.5000  0.5000  4 Ni 2.35
Ni  0.2500  0.2500  0.2500  4 Re 2.35, 4 Li 2.35